This record from the Alexandria database describes LaNd5Th after structural relaxation. The functional is PBE.

Cell and atoms, written as extended XYZ:
```
7
Lattice="5.775 0.000 0.000 0.000 5.775 0.000 0.000 0.000 7.937" Properties=species:S:1:pos:R:3 pbc="T T T"
La 0.000 0.000 0.000
Nd 0.000 2.888 2.249
Nd 0.000 2.888 5.688
Nd 2.888 0.000 2.249
Nd 2.888 0.000 5.688
Nd 2.888 2.888 0.000
Th 0.000 0.000 3.968
```

DOS(E_F)	9.76	states/eV/f.u.
E_form	29.5	kJ/mol of atoms
electronic total energy	-34.05	eV per cell
space-group type	P4/mmm



This record from the Alexandria database describes La5Nd4Th after structural relaxation. The functional is PBE.

Cell and atoms, written as extended XYZ:
```
10
Lattice="6.638 0.000 0.000 0.457 6.748 0.000 1.882 2.829 8.064" Properties=species:S:1:pos:R:3 pbc="T T T"
La 0.000 0.000 0.000
La 2.968 7.481 4.573
La 3.668 4.071 5.548
La 5.309 5.506 2.516
La 6.010 2.096 3.491
Nd 2.066 4.472 2.553
Nd 3.417 1.698 0.841
Nd 5.561 7.879 7.223
Nd 6.911 5.105 5.510
Th 0.228 3.374 0.000
```

DOS(E_F)	17.05	states/eV/f.u.
E_form	13.1	kJ/mol of atoms
electronic total energy	-49.77	eV per cell
space-group type	P-1
excess energy over the best structure of this formula in the dataset	29	meV per atom



This record from the Alexandria database describes LaNdTh2 after structural relaxation. The functional is PBE.

Cell and atoms, written as extended XYZ:
```
4
Lattice="5.074 0.000 0.000 0.000 5.074 0.000 0.000 0.000 5.202" Properties=species:S:1:pos:R:3 pbc="T T T"
La 0.000 0.000 0.000
Nd 2.537 2.537 0.000
Th 0.000 2.537 2.601
Th 2.537 0.000 2.601
```

DOS(E_F)	6.03	states/eV/f.u.
E_form	7.7	kJ/mol of atoms
electronic total energy	-24.21	eV per cell
space-group type	P4/mmm
excess energy over the best structure of this formula in the dataset	54	meV per atom